# MnZn2Ir | Alexandria via LeMat-Bulk | PBEsol | relaxed
# raw total energy	-5.764	eV per atom
# formation enthalpy at 0 K	-0.08	eV per atom
# total magnetization	3.56	μB per formula unit
# Fermi-level density of states	3.710	states/eV/cell
data_MnZn2Ir
_symmetry_space_group_name_H-M 'C 1 2/m 1'
_symmetry_Int_Tables_number 12
_symmetry_space_group_name_Hall '-C 2y'
_cell_length_a 8.759
_cell_length_b 2.890
_cell_length_c 4.403
_cell_angle_alpha 90.00
_cell_angle_beta 104.68
_cell_angle_gamma 90.00
loop_
_atom_site_label
_atom_site_type_symbol
_atom_site_fract_x
_atom_site_fract_y
_atom_site_fract_z
Mn1 Mn 0.000 0.000 0.000
Zn1 Zn 0.249 0.000 0.747
Ir1 Ir 0.000 0.500 0.500